1.
Compound: Pm2NiHPt
Source: Alexandria
Functional: GGA-PBE
Structure: optimized geometry

Geometry as POSCAR:
```
Pm2NiHPt
1.0
5.7517 0.0000 0.0000
0.0000 4.4468 0.0000
-2.8665 0.0000 7.3333
Pm Ni H Pt
4 2 2 2
Direct
0.2184 0.2500 0.4278 Pm
0.2224 0.2500 0.9327 Pm
0.7776 0.7500 0.0673 Pm
0.7816 0.7500 0.5722 Pm
0.3452 0.7500 0.2107 Ni
0.6548 0.2500 0.7893 Ni
0.1401 0.7500 0.0022 H
0.8599 0.2500 0.9978 H
0.3582 0.7500 0.7026 Pt
0.6418 0.2500 0.2974 Pt
```

Computed properties:
- E_tot: -56.48 eV for the cell shown
- Magnetization: 0.00 μB per formula unit



2.
Compound: PmNi2H8Pt
Source: Alexandria
Functional: GGA-PBE
Structure: optimized geometry

Geometry as POSCAR:
```
PmNi2H8Pt
1.0
2.2534 1.3010 5.7431
-2.2534 1.3010 5.7431
0.0000 -2.6020 5.7431
Pm Ni H Pt
1 2 8 1
Direct
0.0000 0.0000 0.0000 Pm
0.2265 0.2265 0.2265 Ni
0.7735 0.7735 0.7735 Ni
0.1361 0.4183 0.7787 H
0.2213 0.8639 0.5817 H
0.3159 0.3159 0.3159 H
0.4183 0.7787 0.1361 H
0.5817 0.2213 0.8639 H
0.6841 0.6841 0.6841 H
0.7787 0.1361 0.4183 H
0.8639 0.5817 0.2213 H
0.5000 0.5000 0.5000 Pt
```

Computed properties:
- E_tot: -51.54 eV for the cell shown
- Magnetization: 0.00 μB per formula unit



3.
Compound: PmNiH6Pt
Source: Alexandria
Functional: GGA-PBE
Structure: optimized geometry

Geometry as POSCAR:
```
PmNiH6Pt
1.0
4.6255 0.0000 0.0000
-2.3127 4.0058 0.0000
0.0000 0.0000 4.2685
Pm Ni H Pt
1 1 6 1
Direct
0.0000 0.0000 0.0000 Pm
0.3333 0.6667 0.5000 Ni
0.0195 0.5098 0.2433 H
0.0195 0.5098 0.7567 H
0.4902 0.5098 0.2433 H
0.4902 0.5098 0.7567 H
0.4902 0.9805 0.2433 H
0.4902 0.9805 0.7567 H
0.6667 0.3333 0.5000 Pt
```

Computed properties:
- E_tot: -40.00 eV for the cell shown
- Magnetization: 0.00 μB per formula unit



4.
Compound: Pm2NiHPt6
Source: Alexandria
Functional: GGA-PBE
Structure: optimized geometry

Geometry as POSCAR:
```
Pm2NiHPt6
1.0
-3.1191 3.1191 4.4213
3.1191 -3.1191 4.4213
3.1191 3.1191 -4.4213
Pm Ni H Pt
2 1 1 6
Direct
0.2500 0.7500 0.5000 Pm
0.7500 0.2500 0.5000 Pm
0.0000 0.0000 0.0000 Ni
0.5000 0.5000 0.0000 H
0.2717 0.2717 0.0000 Pt
0.2721 0.2721 0.5442 Pt
0.2721 0.7279 0.0000 Pt
0.7279 0.2721 0.0000 Pt
0.7283 0.7283 0.0000 Pt
0.7279 0.7279 0.4558 Pt
```

Computed properties:
- E_tot: -60.58 eV for the cell shown
- Magnetization: 0.40 μB per formula unit



5.
Compound: Pm2NiH12Rh3
Source: Alexandria
Functional: GGA-PBE
Structure: optimized geometry

Geometry as POSCAR:
```
Pm2NiH12Rh3
1.0
3.0913 1.7848 4.7433
-3.0913 1.7848 4.7433
0.0000 -3.5695 4.7433
Pm Ni H Rh
2 1 12 3
Direct
0.1328 0.1328 0.1328 Pm
0.8672 0.8672 0.8672 Pm
0.5000 0.5000 0.5000 Ni
0.1522 0.1522 0.5749 H
0.1522 0.5749 0.1522 H
0.1758 0.5889 0.5889 H
0.4112 0.4111 0.8242 H
0.4112 0.8242 0.4112 H
0.4251 0.8478 0.8478 H
0.5749 0.1522 0.1522 H
0.5889 0.1758 0.5889 H
0.5889 0.5888 0.1758 H
0.8242 0.4112 0.4111 H
0.8478 0.4251 0.8478 H
0.8478 0.8478 0.4251 H
0.0000 0.5000 0.5000 Rh
0.5000 0.0000 0.5000 Rh
0.5000 0.5000 0.0000 Rh
```

Computed properties:
- E_tot: -82.55 eV for the cell shown
- Magnetization: 0.00 μB per formula unit



6.
Compound: PmNiH8Rh2
Source: Alexandria
Functional: GGA-PBE
Structure: optimized geometry

Geometry as POSCAR:
```
PmNiH8Rh2
1.0
2.3104 1.3339 5.4643
-2.3104 1.3339 5.4643
0.0000 -2.6678 5.4643
Pm Ni H Rh
1 1 8 2
Direct
0.0000 0.0000 0.0000 Pm
0.5000 0.5000 0.5000 Ni
0.1548 0.7867 0.4101 H
0.2133 0.5899 0.8452 H
0.3118 0.3118 0.3118 H
0.4101 0.1548 0.7867 H
0.5899 0.8452 0.2133 H
0.6882 0.6882 0.6882 H
0.7867 0.4101 0.1548 H
0.8452 0.2133 0.5899 H
0.2101 0.2101 0.2101 Rh
0.7899 0.7899 0.7899 Rh
```

Computed properties:
- E_tot: -54.92 eV for the cell shown
- Magnetization: 0.00 μB per formula unit